[1]
# BaSc3As PBE optimized geometry
data_BaSc3As
_chemical_formula_sum 'Ba1 Sc3 As1'
_cell_length_a 5.2522
_cell_length_b 5.2522
_cell_length_c 5.2522
_cell_angle_alpha 90.00
_cell_angle_beta 90.00
_cell_angle_gamma 90.00
_symmetry_space_group_name_H-M 'P m -3 m'
_symmetry_Int_Tables_number 221
_symmetry_space_group_name_Hall '-P 4 2 3'
loop_
_atom_site_label
_atom_site_fract_x
_atom_site_fract_y
_atom_site_fract_z
Ba1 0.0000 0.0000 0.0000
Sc1 0.0000 0.0000 0.5000
As1 0.5000 0.5000 0.5000
# ρ = 3.98 g/cm³
# formation enthalpy at 0 K = 607 kJ/mol of formula units
# volume = 145 Å³ per cell
# total magnetization = 0.000 μB/atom
# E_tot = -19.27 eV/cell

***

[2]
# BaScAs PBE optimized geometry
data_BaScAs
_chemical_formula_sum 'Ba1 Sc1 As1'
_cell_length_a 4.6619
_cell_length_b 4.6619
_cell_length_c 5.0538
_cell_angle_alpha 90.00
_cell_angle_beta 90.00
_cell_angle_gamma 120.00
_symmetry_space_group_name_H-M 'P 3 m 1'
_symmetry_Int_Tables_number 156
loop_
_symmetry_equiv_pos_as_xyz
'x,y,z'
'-y,x-y,z'
'-x+y,-x,z'
'-y,-x,z'
'-x+y,y,z'
'x,x-y,z'
loop_
_atom_site_label
_atom_site_fract_x
_atom_site_fract_y
_atom_site_fract_z
Ba1 0.0000 0.0000 0.0000
Sc1 0.6667 0.3333 0.4999
As1 0.3333 0.6667 0.5013
# ρ = 4.49 g/cm³
# formation enthalpy at 0 K = -208 kJ/mol of formula units
# volume = 95 Å³ per cell
# total magnetization = 0.000 μB/atom
# E_tot = -15.06 eV/cell

***

[3]
# BaSc4As PBE optimized geometry
data_BaSc4As
_chemical_formula_sum 'Ba4 Sc16 As4'
_cell_length_a 8.7880
_cell_length_b 8.7880
_cell_length_c 8.7880
_cell_angle_alpha 90.00
_cell_angle_beta 90.00
_cell_angle_gamma 90.00
_symmetry_space_group_name_H-M 'F -4 3 m'
_symmetry_Int_Tables_number 216
_symmetry_space_group_name_Hall 'F -4 2 3'
loop_
_atom_site_label
_atom_site_fract_x
_atom_site_fract_y
_atom_site_fract_z
Ba1 0.0000 0.0000 0.0000
Sc1 0.1251 0.1251 0.6251
As1 0.2500 0.2500 0.2500
# ρ = 3.84 g/cm³
# formation enthalpy at 0 K = 181 kJ/mol of formula units
# volume = 679 Å³ per cell
# total magnetization = 0.199 μB/atom
# E_tot = -120.09 eV/cell

***

[4]
# Ba3ScAs PBE optimized geometry
data_Ba3ScAs
_chemical_formula_sum 'Ba3 Sc1 As1'
_cell_length_a 6.3835
_cell_length_b 6.3835
_cell_length_c 6.3835
_cell_angle_alpha 90.00
_cell_angle_beta 90.00
_cell_angle_gamma 90.00
_symmetry_space_group_name_H-M 'P m -3 m'
_symmetry_Int_Tables_number 221
_symmetry_space_group_name_Hall '-P 4 2 3'
loop_
_atom_site_label
_atom_site_fract_x
_atom_site_fract_y
_atom_site_fract_z
Ba1 0.0000 0.0000 0.5000
Sc1 0.5000 0.5000 0.5000
As1 0.0000 0.0000 0.0000
# ρ = 3.40 g/cm³
# formation enthalpy at 0 K = -45 kJ/mol of formula units
# volume = 260 Å³ per cell
# total magnetization = 0.452 μB/atom
# E_tot = -17.22 eV/cell

***

[5]
# BaScAs4 PBE optimized geometry
data_BaScAs4
_chemical_formula_sum 'Ba4 Sc4 As16'
_cell_length_a 8.2530
_cell_length_b 8.2530
_cell_length_c 8.2530
_cell_angle_alpha 90.00
_cell_angle_beta 90.00
_cell_angle_gamma 90.00
_symmetry_space_group_name_H-M 'F -4 3 m'
_symmetry_Int_Tables_number 216
_symmetry_space_group_name_Hall 'F -4 2 3'
loop_
_atom_site_label
_atom_site_fract_x
_atom_site_fract_y
_atom_site_fract_z
Ba1 0.0000 0.0000 0.0000
Sc1 0.2500 0.2500 0.7500
As1 0.1216 0.1216 0.3784
# ρ = 5.69 g/cm³
# formation enthalpy at 0 K = -134 kJ/mol of formula units
# volume = 562 Å³ per cell
# total magnetization = 0.000 μB/atom
# E_tot = -112.98 eV/cell

***

[6]
# Ba2ScAs2 PBE optimized geometry
data_Ba2ScAs2
_chemical_formula_sum 'Ba8 Sc4 As8'
_cell_length_a 7.3198
_cell_length_b 13.4641
_cell_length_c 6.7309
_cell_angle_alpha 90.00
_cell_angle_beta 90.00
_cell_angle_gamma 90.00
_symmetry_space_group_name_H-M 'I b a m'
_symmetry_Int_Tables_number 72
_symmetry_space_group_name_Hall '-I 2 2c'
loop_
_atom_site_label
_atom_site_fract_x
_atom_site_fract_y
_atom_site_fract_z
Ba1 0.1671 0.1474 0.0000
Sc1 0.0000 0.5000 0.2500
As1 0.2114 0.3938 0.0000
# ρ = 4.70 g/cm³
# formation enthalpy at 0 K = -525 kJ/mol of formula units
# volume = 663 Å³ per cell
# total magnetization = 0.000 μB/atom
# E_tot = -99.66 eV/cell